DyGaNO, optimized geometry, DFT PBE; mass density = 8.15 g/cm³; electronic total energy = -53.01 eV for the cell shown
1.0
-1.725 -4.484 -0.127
2.427 -0.818 -4.066
3.630 -1.466 2.462
Dy Ga N O
2 2 2 2
direct
0.750 0.250 0.500 Dy
0.250 0.750 0.500 Dy
0.750 0.750 0.013 Ga
0.250 0.250 0.987 Ga
0.750 0.750 0.452 N
0.250 0.250 0.548 N
0.750 0.250 0.000 O
0.250 0.750 0.000 O